No. 1
# Y2AlPt

Crystalline Y2AlPt at its relaxed geometry (PBE, Alexandria via LeMat-Bulk).

Cell and atoms, written as POSCAR:
```
Y2AlPt
1.0
8.261 -0.041 -0.025
7.379 3.716 -0.025
7.379 1.734 3.287
Al Pt Y
1 1 2
Cartesian
5.755 1.352 0.809
17.264 4.056 2.428
11.304 2.656 1.590
0.205 0.048 0.029
```

Summary:
Calculated total energy, eV per atom: -6.26
Symmetry: R-3m, No. 166
ρ, g/cm³: 6.47
DOS at the Fermi energy, states/eV per cell: 3.75
Calculated volume, A^3/atom: 25.65
Total magnetic moment, μB per cell: 0.00

No. 2
# Tb3Te

Crystalline Tb3Te at its relaxed geometry (PBE, Alexandria via LeMat-Bulk).

Cell and atoms, written as POSCAR:
```
Tb3Te
1.0
-2.813 -2.102 3.272
3.261 -3.476 0.570
2.120 2.557 3.465
Tb Te
3 1
Cartesian
-0.347 0.227 3.369
2.690 -0.459 2.018
0.224 -2.789 1.921
0.000 0.000 0.000
```

Summary:
Calculated total energy, eV per atom: -4.70
Symmetry: Pm-3m, No. 221
ρ, g/cm³: 9.07
DOS at the Fermi energy, states/eV per cell: 4.61
Polymorph energy (0 for the lowest one), meV/atom: 207
Calculated volume, A^3/atom: 27.65
Total magnetic moment, μB per cell: 0.00
Raw formation energy, eV/atom: -0.443

No. 3
# CrOs2Ru

Crystalline CrOs2Ru at its relaxed geometry (PBE, Alexandria via LeMat-Bulk).

Cell and atoms, written as POSCAR:
```
CrOs2Ru
1.0
4.659 0.007 0.000
1.570 4.386 0.000
-3.114 -2.196 2.680
Os Ru Cr
2 1 1
Cartesian
0.000 0.000 0.000
0.785 2.193 1.340
3.114 2.196 0.000
2.329 0.003 1.340
```

Summary:
Calculated total energy, eV per atom: -10.25
Symmetry: I-4m2, No. 119
ρ, g/cm³: 16.19
DOS at the Fermi energy, states/eV per cell: 4.01
Polymorph energy (0 for the lowest one), meV/atom: 25
Calculated volume, A^3/atom: 13.68
Total magnetic moment, μB per cell: 0.01